Entry from Alexandria: an optimized crystal structure of KTaCu2Ag (PBE).

Its crystal system is tetragonal. For the final energy, the calculation gives -0.1796 Ry per atom. The value obtained for the calculated volume is 114.3 Å³/cell.

The space group is P4/mmm (No. 123) and the conventional cell measures 4.714, 4.714 and 5.144 Å, with angles of 90.00, 90.00 and 90.00 degrees. The distinct sites, in fractional coordinates, are K at (0.000, 0.000, 0.000), Ta at (0.000, 0.000, 0.500), Cu at (0.000, 0.500, 0.000) and Ag at (0.500, 0.500, 0.500).



Entry from Alexandria: an optimized crystal structure of PrSnGe (PBE).

Its crystal system is tetragonal. For the final energy, the calculation gives -0.3549 Ry per atom. The value obtained for the calculated volume is 170.8 Å³/cell.

The space group is I4mm (No. 107) and the conventional cell measures 4.418, 4.418 and 8.746 Å, with angles of 90.00, 90.00 and 90.00 degrees. The distinct sites, in fractional coordinates, are Pr at (0.000, 0.000, 0.000), Sn at (0.000, 0.000, 0.643) and Ge at (0.000, 0.000, 0.347).



Entry from Alexandria: an optimized crystal structure of GaB3Au (PBE).

Its crystal system is cubic. Its polymorph energy (0 for the lowest one) is 193 meV per atom. For the final energy, the calculation gives -0.2476 Ry per atom. The value obtained for the calculated volume is 71.9 Å³/cell.

The space group is Pm-3m (No. 221) and the conventional cell measures 4.159, 4.159 and 4.159 Å, with angles of 90.00, 90.00 and 90.00 degrees. The distinct sites, in fractional coordinates, are Ga at (0.000, 0.000, 0.000), B at (0.000, 0.000, 0.500) and Au at (0.500, 0.500, 0.500).



Entry from Alexandria: an optimized crystal structure of Zn2AsO4 (PBE).

Its crystal system is tetragonal. Its polymorph energy (0 for the lowest one) is 0 meV per atom. For the final energy, the calculation gives -0.3704 Ry per atom. The value obtained for the calculated volume is 204.0 Å³/cell. For the uncorrected formation energy, the calculation gives -1178 meV per atom.

The space group is I-42m (No. 121) and the conventional cell measures 4.895, 4.895 and 8.514 Å, with angles of 90.00, 90.00 and 90.00 degrees. The distinct sites, in fractional coordinates, are Zn at (0.000, 0.500, 0.250), As at (0.000, 0.000, 0.000) and O at (0.210, 0.210, 0.129).



Entry from Alexandria: an optimized crystal structure of HgPdC2I (PBE).

Its crystal system is tetragonal. For the final energy, the calculation gives -0.1921 Ry per atom. The value obtained for the calculated volume is 98.9 Å³/cell. For the uncorrected formation energy, the calculation gives 2484 meV per atom.

The space group is P4/mmm (No. 123) and the conventional cell measures 4.290, 4.290 and 5.375 Å, with angles of 90.00, 90.00 and 90.00 degrees. The distinct sites, in fractional coordinates, are Hg at (0.000, 0.000, 0.000), Pd at (0.500, 0.500, 0.000), C at (0.000, 0.500, 0.500) and I at (0.500, 0.500, 0.500).



Entry from Alexandria: an optimized crystal structure of Be23V6 (PBE).

Its crystal system is cubic. For the final energy, the calculation gives -0.3678 Ry per atom. The value obtained for the calculated volume is 1039.6 Å³/cell.

The space group is Fm-3m (No. 225) and the conventional cell measures 10.130, 10.130 and 10.130 Å, with angles of 90.00, 90.00 and 90.00 degrees. The distinct sites, in fractional coordinates, are Be at (0.000, 0.000, 0.000), Be at (0.000, 0.250, 0.250), Be at (0.120, 0.120, 0.120), Be at (0.173, 0.173, 0.327) and V at (0.000, 0.000, 0.312).



Entry from Alexandria: an optimized crystal structure of ScBi3Te (PBE).

Its crystal system is cubic. Its polymorph energy (0 for the lowest one) is 0 meV per atom. For the final energy, the calculation gives -0.2918 Ry per atom. The value obtained for the calculated volume is 175.9 Å³/cell. For the uncorrected formation energy, the calculation gives 254 meV per atom.

The space group is Pm-3m (No. 221) and the conventional cell measures 5.603, 5.603 and 5.603 Å, with angles of 90.00, 90.00 and 90.00 degrees. The distinct sites, in fractional coordinates, are Sc at (0.000, 0.000, 0.000), Bi at (0.000, 0.000, 0.500) and Te at (0.500, 0.500, 0.500).



Entry from Alexandria: an optimized crystal structure of NaCu3Au (PBE).

Its crystal system is cubic. Its polymorph energy (0 for the lowest one) is 0 meV per atom. For the final energy, the calculation gives -0.2132 Ry per atom. The value obtained for the calculated volume is 114.5 Å³/cell.

The space group is Pm-3m (No. 221) and the conventional cell measures 4.857, 4.857 and 4.857 Å, with angles of 90.00, 90.00 and 90.00 degrees. The distinct sites, in fractional coordinates, are Na at (0.000, 0.000, 0.000), Cu at (0.000, 0.500, 0.500) and Au at (0.500, 0.500, 0.500).



- final energy of number 6 (Be23V6)?
  -0.3678 Ry per atom



Please write out number 3 again, unchanged.
Entry from Alexandria: an optimized crystal structure of GaB3Au (PBE).

Its crystal system is cubic. Its polymorph energy (0 for the lowest one) is 193 meV per atom. For the final energy, the calculation gives -0.2476 Ry per atom. The value obtained for the calculated volume is 71.9 Å³/cell.

The space group is Pm-3m (No. 221) and the conventional cell measures 4.159, 4.159 and 4.159 Å, with angles of 90.00, 90.00 and 90.00 degrees. The distinct sites, in fractional coordinates, are Ga at (0.000, 0.000, 0.000), B at (0.000, 0.000, 0.500) and Au at (0.500, 0.500, 0.500).